Compound: CoNiOsO6
Source: Alexandria via LeMat-Bulk
Functional: PBE with a Hubbard U
Structure: relaxed

```
data_CoNiOsO6
_chemical_formula_sum 'Co2 Ni2 Os2 O12'
_cell_length_a 4.9269
_cell_length_b 4.9269
_cell_length_c 8.8521
_cell_angle_alpha 90.00
_cell_angle_beta 90.00
_cell_angle_gamma 120.00
_symmetry_space_group_name_H-M 'P 1'
_symmetry_Int_Tables_number 1
_symmetry_space_group_name_Hall 'P 1'
loop_
_atom_site_label
_atom_site_fract_x
_atom_site_fract_y
_atom_site_fract_z
Co1 0.6667 0.3333 0.2500
Co2 0.3333 0.6667 0.7500
Ni1 0.0000 0.0000 0.0000
Ni2 0.0000 0.0000 0.5000
Os1 0.3333 0.6667 0.2500
Os2 0.6667 0.3333 0.7500
O1 0.6467 0.6472 0.1318
O2 0.0005 0.3533 0.1318
O3 0.3533 0.0005 0.6318
O4 0.9995 0.6467 0.8682
O5 0.3528 0.3533 0.3682
O6 0.0005 0.6472 0.3682
O7 0.6472 0.0005 0.8682
O8 0.6467 0.9995 0.3682
O9 0.9995 0.3528 0.6318
O10 0.3528 0.9995 0.1318
O11 0.6472 0.6467 0.6318
O12 0.3533 0.3528 0.8682
```

Summary:
Its crystal system is trigonal. The value obtained for the total DFT energy (no corrections) is -113.3 eV/cell. The value obtained for the spin magnetization is 0.99 μB per formula unit. The space group is P-31c.